A relaxed structure of Ba3Ru. Source: the Alexandria database, functional PBE.

* calculated volume: 44.1 A^3/atom
* DOS at the Fermi energy: 1.493 states/eV/atom
* crystal system: orthorhombic
* raw total energy: -3.3802 eV/atom

a = 8.466 Å, b = 8.466 Å, c = 8.466 Å
α = 153.42°, β = 139.34°, γ = 49.24°
Atoms (fractional coordinates):
Ba  0.000  0.000  0.000
Ba  0.343  0.843  0.500
Ba  0.657  0.157  0.500
Ru  0.500  0.500  0.000